Entry 1:
This record from Alexandria describes an optimized crystal structure of Cs3Pu3NbS8. The functional is GGA-PBE.

Cell: 7.9738 7.9740 9.4125 Å, 115.08 90.00 120.00°
Last column: nearest neighbours and their distance in Å.
Positions (direct):
1 Cs 0.0000 0.0000 0.0000  6 S 3.48-3.50
2 Cs 0.0000 0.5000 0.0000  6 S 3.48-3.50
3 Cs 0.5000 0.5000 0.0000  6 S 3.48-3.50
4 Pu 0.5000 0.0000 0.5000  6 S 2.74-2.77
5 Pu 0.5000 0.5000 0.5000  6 S 2.74-2.77
6 Pu 0.0000 0.5000 0.5000  6 S 2.74-2.77
7 Nb 0.0000 0.0000 0.5000  6 S 2.57-2.58
8 S 0.2726 0.5453 0.3180  3 Pu 2.74
9 S 0.7274 0.4547 0.6820  3 Pu 2.74
10 S 0.7867 0.5734 0.3278  1 Nb 2.58, 2 Pu 2.77
11 S 0.2133 0.4266 0.6722  1 Nb 2.58, 2 Pu 2.77
12 S 0.7868 0.0410 0.3278  1 Nb 2.57, 2 Pu 2.77
13 S 0.2132 0.9590 0.6722  1 Nb 2.57, 2 Pu 2.77
14 S 0.2542 0.0410 0.3278  1 Nb 2.57, 2 Pu 2.77
15 S 0.7458 0.9590 0.6722  1 Nb 2.57, 2 Pu 2.77

symmetry	R-3m, No. 166
ΔE_f (raw)	-1430	meV/atom

Entry 2:
This record from Alexandria describes an optimized crystal structure of Cs3RbNb. The functional is GGA-PBE.

Cell: 7.9527 7.9527 7.9527 Å, 90.00 90.00 90.00°
Last column: nearest neighbours and their distance in Å.
Positions (direct):
1 Cs 0.0000 0.5000 0.0000  2 Rb 3.98
2 Cs 0.0000 0.0000 0.5000  2 Rb 3.98
3 Cs 0.5000 0.0000 0.0000  2 Rb 3.98
4 Nb 0.5000 0.5000 0.5000  12 Cs 5.62
5 Rb 0.0000 0.0000 0.0000  6 Cs 3.98

symmetry	Pm-3m, No. 221
energy relative to the elements	1371	meV per atom
distance to the lowest polymorph of the same formula	36.6	kJ per mole of atoms

Entry 3:
This record from Alexandria describes an optimized crystal structure of Cs3RbNb. The functional is GGA-PBE.

Cell: 7.0558 7.0558 7.0558 Å, 90.00 90.00 90.00°
Last column: nearest neighbours and their distance in Å.
Positions (direct):
1 Cs 0.0000 0.5000 0.0000  2 Nb 3.53
2 Cs 0.0000 0.0000 0.5000  2 Nb 3.53
3 Cs 0.5000 0.0000 0.0000  2 Nb 3.53
4 Nb 0.0000 0.0000 0.0000  6 Cs 3.53
5 Rb 0.5000 0.5000 0.5000  12 Cs 4.99

symmetry	Pm-3m, No. 221
energy relative to the elements	992	meV per atom
distance to the lowest polymorph of the same formula	0.0	kJ per mole of atoms

Entry 4:
This record from Alexandria describes an optimized crystal structure of CsRbNb2. The functional is GGA-PBE.

Cell: 4.5642 4.5642 13.9715 Å, 80.60 80.60 90.00°
Last column: nearest neighbours and their distance in Å.
Positions (direct):
1 Cs 0.0000 0.0000 0.0000  4 Rb 3.23
2 Cs 0.7500 0.2500 0.5000  4 Rb 3.23
3 Nb 0.7639 0.1250 0.2500  2 Nb 2.50
4 Nb 0.9861 0.6250 0.2500  2 Nb 2.50
5 Nb 0.3750 0.2361 0.7500  2 Nb 2.50
6 Nb 0.8750 0.0139 0.7500  2 Nb 2.50
7 Rb 0.5000 0.5000 0.0000  4 Cs 3.23
8 Rb 0.2500 0.7500 0.5000  4 Cs 3.23

symmetry	I-42d, No. 122
energy relative to the elements	1787	meV per atom

Entry 5:
This record from Alexandria describes an optimized crystal structure of CsRbNbTeRu. The functional is GGA-PBE.

Cell: 4.4261 4.4271 12.0787 Å, 83.76 86.48 60.05°
Last column: nearest neighbours and their distance in Å.
Positions (direct):
1 Cs 0.4832 0.8439 0.8077  3 Ru 3.89-3.90, 3 Nb 4.01-4.02
2 Ru 0.1447 0.4401 0.0524  3 Nb 2.56
3 Nb 0.8110 0.1029 0.0657  3 Ru 2.56
4 Te 0.4747 0.7364 0.1823  3 Nb 2.91-2.92, 3 Ru 2.99-3.00
5 Rb 0.1360 0.3429 0.3923  3 Te 3.59

symmetry	P1, No. 1
distance to the lowest polymorph of the same formula	2.0	kJ per mole of atoms
ΔE_f (raw)	94	meV/atom

Entry 6:
This record from Alexandria describes an optimized crystal structure of CsRbNbTeRu. The functional is GGA-PBE.

Cell: 4.4408 4.4400 11.8680 Å, 79.45 80.21 60.01°
Last column: nearest neighbours and their distance in Å.
Positions (direct):
1 Cs 0.4413 0.0329 0.1957  3 Nb 3.77, 3 Ru 4.13-4.14
2 Rb 0.9401 0.5743 0.6014  1 Ru 3.66, 3 Te 3.67
3 Nb 0.1737 0.7827 0.9581  3 Ru 2.61
4 Te 0.5435 0.1616 0.8276  3 Ru 2.76-2.77, 3 Nb 2.98
5 Ru 0.8519 0.4638 0.9167  3 Nb 2.61, 3 Te 2.76-2.77

symmetry	P1, No. 1
distance to the lowest polymorph of the same formula	0.0	kJ per mole of atoms
ΔE_f (raw)	73	meV/atom

Entry 7:
This record from Alexandria describes an optimized crystal structure of CsRbNbTeRu. The functional is GGA-PBE.

Cell: 4.2056 5.4599 7.8886 Å, 93.32 99.54 101.29°
Last column: nearest neighbours and their distance in Å.
Positions (direct):
1 Cs 0.1786 0.5998 0.2353  1 Ru 3.15
2 Rb 0.7109 0.1537 0.5292  2 Nb 3.61-3.67, 3 Te 3.73-3.82, 2 Cs 3.79-3.93
3 Nb 0.3042 0.1098 0.9071  2 Ru 2.36-2.50
4 Te 0.4276 0.6219 0.7994  1 Ru 2.69, 2 Nb 2.92-2.94
5 Ru 0.8286 0.9801 0.0286  2 Nb 2.36-2.50

symmetry	P1, No. 1
distance to the lowest polymorph of the same formula	23.0	kJ per mole of atoms
ΔE_f (raw)	311	meV/atom

Entry 8:
This record from Alexandria describes an optimized crystal structure of CsRbNbTeRu. The functional is GGA-PBE.

Cell: 3.6773 3.6772 13.3677 Å, 94.79 96.48 103.92°
Last column: nearest neighbours and their distance in Å.
Positions (direct):
1 Cs 0.8023 0.6008 0.7884  3 Ru 3.53-3.70, 4 Cs 3.68
2 Rb 0.1104 0.8873 0.4213  3 Te 3.51-3.82, 4 Rb 3.68
3 Nb 0.7781 0.8997 0.0810  3 Ru 2.52-2.64, 1 Te 2.82
4 Te 0.4757 0.3310 0.2181  3 Nb 2.82-2.99, 1 Ru 2.99
5 Ru 0.3475 0.2461 0.9917  3 Nb 2.52-2.64

symmetry	P1, No. 1
distance to the lowest polymorph of the same formula	11.6	kJ per mole of atoms
ΔE_f (raw)	193	meV/atom

Entry 9:
This record from Alexandria describes an optimized crystal structure of CsRbNbTeRu. The functional is GGA-PBE.

Cell: 3.9889 5.1689 10.8619 Å, 84.85 92.27 78.86°
Last column: nearest neighbours and their distance in Å.
Positions (direct):
1 Cs 0.8161 0.5967 0.8152  3 Ru 3.54-3.62, 1 Nb 3.95
2 Ru 0.2436 0.9914 0.9960  2 Nb 2.37-2.46
3 Nb 0.7420 0.0977 0.1060  2 Ru 2.37-2.46
4 Te 0.5337 0.6146 0.1742  1 Ru 2.67, 2 Nb 2.81-2.83
5 Rb 0.2147 0.1650 0.4090  3 Te 3.72-4.05, 2 Nb 3.80-3.98, 2 Rb 3.99

symmetry	P1, No. 1
distance to the lowest polymorph of the same formula	22.0	kJ per mole of atoms
ΔE_f (raw)	301	meV/atom

Entry 10:
This record from Alexandria describes an optimized crystal structure of CsRbNbTeRu. The functional is GGA-PBE.

Cell: 6.6861 3.7868 8.2401 Å, 90.00 113.66 90.00°
Last column: nearest neighbours and their distance in Å.
Positions (direct):
1 Cs 0.4351 0.0000 0.3794  2 Cs 3.79, 2 Ru 3.83, 4 Te 3.88-3.89
2 Rb 0.7569 0.0000 0.0191  2 Te 3.79, 2 Rb 3.79, 4 Ru 3.89, 2 Nb 3.93-3.94
3 Nb 0.1199 0.0000 0.7447  2 Ru 2.39
4 Te 0.9710 0.5000 0.4535  2 Nb 2.90
5 Ru 0.2175 0.5000 0.9380  2 Nb 2.39

symmetry	Pm, No. 6
distance to the lowest polymorph of the same formula	20.1	kJ per mole of atoms
ΔE_f (raw)	281	meV/atom

Entry 11:
This record from Alexandria describes an optimized crystal structure of CsRbNbTeRu. The functional is GGA-PBE.

Cell: 4.1138 4.1156 12.8123 Å, 91.11 97.47 119.90°
Last column: nearest neighbours and their distance in Å.
Positions (direct):
1 Cs 0.6386 0.0436 0.2066  3 Ru 3.48-3.49
2 Rb 0.2748 0.8240 0.5799  3 Te 3.54
3 Nb 0.8048 0.6108 0.9210  3 Ru 2.60
4 Te 0.0609 0.2303 0.7874  1 Ru 2.75, 3 Nb 2.92
5 Ru 0.1867 0.3068 0.0047  3 Nb 2.60, 1 Te 2.75

symmetry	P1, No. 1
distance to the lowest polymorph of the same formula	10.9	kJ per mole of atoms
ΔE_f (raw)	186	meV/atom

Entry 12:
This record from Alexandria describes an optimized crystal structure of Cs2RbNbS4. The functional is GGA-PBE.

Cell: 7.7222 7.8766 17.1447 Å, 83.66 76.98 60.65°
Last column: nearest neighbours and their distance in Å.
Positions (direct):
1 Cs 0.2022 0.0000 0.5957  4 S 3.61-3.84
2 Cs 0.7978 0.0000 0.4043  4 S 3.61-3.84
3 Cs 0.5478 0.5000 0.9043  4 S 3.61-3.84
4 Cs 0.9522 0.5000 0.0957  4 S 3.61-3.84
5 Rb 0.7500 0.5000 0.5000  4 S 3.18
6 Rb 0.0000 0.0000 0.0000  4 S 3.18
7 Nb 0.2500 0.5000 0.5000  4 S 2.30
8 Nb 0.5000 0.0000 0.0000  4 S 2.30
9 S 0.3926 0.7993 0.0780  1 Nb 2.30
10 S 0.2698 0.2007 0.9220  1 Nb 2.30
11 S 0.8081 0.7993 0.9220  1 Nb 2.30
12 S 0.5294 0.2007 0.0780  1 Nb 2.30
13 S 0.3574 0.7007 0.4220  1 Nb 2.30
14 S 0.4802 0.2993 0.5780  1 Nb 2.30
15 S 0.9419 0.7007 0.5780  1 Nb 2.30
16 S 0.2206 0.2993 0.4220  1 Nb 2.30

symmetry	Fddd, No. 70
ΔE_f (raw)	-1087	meV/atom

The records above give, respectively, density of states at the Fermi level values of 1.842 0.522 0.292 0.946 0.797 0.852 0.509 0.672 0.926 0.565 0.823 0.000 states/eV/atom.
The records above give, respectively, total DFT energy (no corrections) values of -7.34 -1.35 -1.73 -3.70 -4.77 -4.79 -4.55 -4.67 -4.56 -4.58 -4.68 -4.74 eV per atom.